# 1
A plane-wave DFT calculation with GGA-PBE was carried out for a relaxed structure of LiCa2YPt.

```
LiCa2YPt
1.0
-4.862 2.810 0.521
-1.897 -2.405 -4.736
-2.055 -4.095 2.903
Y Ca Pt Li
1 2 1 1
direct
0.000 0.000 0.500 Y
0.000 0.500 0.000 Ca
0.500 0.000 0.000 Ca
0.000 0.000 0.000 Pt
0.500 0.500 0.500 Li
```

Output
space-group type = P4/mmm (123)
VASP energy = -0.2983 Ry/atom


# 2
A plane-wave DFT calculation with GGA-PBE was carried out for a relaxed structure of LiCa2ZnPt2.

```
LiCa2ZnPt2
1.0
-3.774 -4.327 0.832
4.457 -3.878 0.047
0.292 4.917 6.668
Li Ca Zn Pt
2 4 2 4
direct
0.000 0.750 0.000 Li
0.000 0.250 0.000 Li
0.420 0.172 0.343 Ca
0.580 0.828 0.657 Ca
0.077 0.328 0.657 Ca
0.923 0.672 0.343 Ca
0.500 0.750 0.000 Zn
0.500 0.250 0.000 Zn
0.861 0.115 0.230 Pt
0.369 0.615 0.230 Pt
0.631 0.385 0.770 Pt
0.139 0.885 0.770 Pt
```

Output
space-group type = Ibam (72)
VASP energy = -0.2906 Ry/atom


The following DFT formation energy values (in eV per formula unit) correspond, in order, to the records above: -1.9, -4.4.